[1]
# PmTm2InN | Alexandria | PBE-GGA | relaxed
data_PmTm2InN
_cell_length_a 4.9737
_cell_length_b 4.7532
_cell_length_c 4.7532
_cell_angle_alpha 90.00
_cell_angle_beta 90.00
_cell_angle_gamma 90.00
_space_group_name_H-M_alt 'P 1'
_space_group_IT_number 1
loop_
_space_group_symop_operation_xyz
'x,y,z'
loop_
_atom_site_label
_atom_site_type_symbol
_atom_site_fract_x
_atom_site_fract_y
_atom_site_fract_z
_atom_site_occupancy
Pm1 Pm 0.5000 0.0000 0.0000 1
Tm1 Tm 0.0000 0.0000 0.5000 1
Tm2 Tm 0.0000 0.5000 0.0000 1
In1 In 0.5000 0.5000 0.5000 1
N1 N 0.0000 0.0000 0.0000 1
# D(E_F)	0.467	states/eV per atom
# crystal system	tetragonal
# raw formation energy	-0.966	eV per atom

=====

[2]
# Pm2TmInN | Alexandria | PBE-GGA | relaxed
data_Pm2TmInN
_cell_length_a 4.7322
_cell_length_b 5.0037
_cell_length_c 5.0037
_cell_angle_alpha 90.00
_cell_angle_beta 90.00
_cell_angle_gamma 90.00
_space_group_name_H-M_alt 'P 1'
_space_group_IT_number 1
loop_
_space_group_symop_operation_xyz
'x,y,z'
loop_
_atom_site_label
_atom_site_type_symbol
_atom_site_fract_x
_atom_site_fract_y
_atom_site_fract_z
_atom_site_occupancy
Pm1 Pm 0.0000 0.0000 0.5000 1
Pm2 Pm 0.0000 0.5000 0.0000 1
Tm1 Tm 0.5000 0.0000 0.0000 1
In1 In 0.5000 0.5000 0.5000 1
N1 N 0.0000 0.0000 0.0000 1
# D(E_F)	0.432	states/eV per atom
# crystal system	tetragonal
# raw formation energy	-0.930	eV per atom

=====

[3]
# Pm2YInN4 | Alexandria | PBE-GGA | relaxed
data_Pm2YInN4
_cell_length_a 3.5247
_cell_length_b 6.1435
_cell_length_c 6.0977
_cell_angle_alpha 110.92
_cell_angle_beta 90.00
_cell_angle_gamma 90.00
_space_group_name_H-M_alt 'P 1'
_space_group_IT_number 1
loop_
_space_group_symop_operation_xyz
'x,y,z'
loop_
_atom_site_label
_atom_site_type_symbol
_atom_site_fract_x
_atom_site_fract_y
_atom_site_fract_z
_atom_site_occupancy
Pm1 Pm 0.5000 0.0000 0.5000 1
Pm2 Pm 0.0000 0.5000 0.5000 1
Y1 Y 0.5000 0.5000 0.0000 1
In1 In 0.0000 0.0000 0.0000 1
N1 N 0.5000 0.2465 0.2406 1
N2 N 0.5000 0.7535 0.7594 1
N3 N 0.0000 0.2614 0.7495 1
N4 N 0.0000 0.7386 0.2505 1
# crystal system	monoclinic
# raw formation energy	-1.039	eV per atom

=====

[4]
# Pm2YInN | Alexandria | PBE-GGA | relaxed
data_Pm2YInN
_cell_length_a 4.8337
_cell_length_b 4.9966
_cell_length_c 4.9966
_cell_angle_alpha 90.00
_cell_angle_beta 90.00
_cell_angle_gamma 90.00
_space_group_name_H-M_alt 'P 1'
_space_group_IT_number 1
loop_
_space_group_symop_operation_xyz
'x,y,z'
loop_
_atom_site_label
_atom_site_type_symbol
_atom_site_fract_x
_atom_site_fract_y
_atom_site_fract_z
_atom_site_occupancy
Pm1 Pm 0.0000 0.0000 0.5000 1
Pm2 Pm 0.0000 0.5000 0.0000 1
Y1 Y 0.5000 0.0000 0.0000 1
In1 In 0.5000 0.5000 0.5000 1
N1 N 0.0000 0.0000 0.0000 1
# D(E_F)	0.485	states/eV per atom
# crystal system	tetragonal
# raw formation energy	-0.933	eV per atom

=====

Look up the raw formation energy of the fourth one. -0.933 eV per atom